# DyCrSbO6 (PBE+U, optimized geometry)
data_DyCrSbO6
_chemical_formula_sum 'Dy2 Cr2 Sb2 O12'
_symmetry_space_group_name_H-M 'P -3 1 c'
_symmetry_Int_Tables_number 163
_symmetry_space_group_name_Hall '-P 3 2c'
_cell_length_a 5.4416
_cell_length_b 5.4416
_cell_length_c 8.5553
_cell_angle_alpha 90.00
_cell_angle_beta 90.00
_cell_angle_gamma 120.00
loop_
_atom_site_label
_atom_site_type_symbol
_atom_site_fract_x
_atom_site_fract_y
_atom_site_fract_z
Dy1 Dy 0.3333 0.6667 0.2500
Cr1 Cr 0.0000 0.0000 0.0000
Sb1 Sb 0.3333 0.6667 0.7500
O1 O 0.0360 0.3400 0.6229
# raw total energy: -6.984 eV per atom
# calculated density: 6.5 g/cm³
# magnetization: 4.0 Bohr magnetons per cell